(1)
Below is crystalline BaTa2Os at its relaxed geometry, with properties calculated at the PBE level.

Geometry as POSCAR:
```
BaTa2Os
1.0
3.0076 0.0059 0.0000
-1.1050 2.7972 0.0000
0.0000 0.0000 10.1430
Os Ba Ta
1 1 2
Direct
0.5000 0.5000 0.7907
0.0000 0.0000 0.5223
0.0000 0.0000 0.9831
0.5000 0.5000 0.2039
```

The calculation puts the formation enthalpy at 0 K at 672.4 meV/atom. Its density of states at the Fermi level is 3.19 states/eV per cell. The symmetry is Cmm2, No. 35. Its total energy is -34.17 eV per cell. For the energy above the most stable polymorph in this dataset, the calculation gives 0.66 eV per formula unit.

---

(2)
Below is crystalline BaTa2Os at its relaxed geometry, with properties calculated at the PBE level.

Geometry as POSCAR:
```
BaTa2Os
1.0
3.8577 0.0000 0.0000
0.0000 3.1469 0.1462
0.0000 2.0440 8.0842
Os Ba Ta
1 1 2
Direct
0.5000 0.6488 0.8447
0.0000 0.4058 0.5172
0.0000 0.0465 0.9787
0.5000 0.3989 0.1595
```

The calculation puts the formation enthalpy at 0 K at 528.0 meV/atom. Its density of states at the Fermi level is 4.06 states/eV per cell. The symmetry is Pm, No. 6. Its total energy is -34.75 eV per cell. For the energy above the most stable polymorph in this dataset, the calculation gives 0.09 eV per formula unit.

---

(3)
Below is crystalline BaTaOs4 at its relaxed geometry, with properties calculated at the PBE level.

Geometry as POSCAR:
```
BaTaOs4
1.0
0.0000 3.8008 3.8008
3.8008 0.0000 3.8008
3.8008 3.8008 0.0000
Ba Ta Os
1 1 4
Direct
0.0000 0.0000 0.0000
0.7500 0.7500 0.7500
0.8722 0.3759 0.3759
0.3759 0.3759 0.8722
0.3759 0.8722 0.3759
0.3759 0.3759 0.3759
```

The calculation puts the formation enthalpy at 0 K at 723.2 meV/atom. Its density of states at the Fermi level is 6.28 states/eV per cell. The symmetry is F-43m, No. 216. Its total energy is -54.36 eV per cell.